## PrNdSe3 (PBE)

Data for a relaxed PrNdSe3 crystal.

a b c (Å): 4.215 11.205 11.582
angles (deg): 90.00 90.00 90.00
Atoms (fractional coordinates):
Pr: 0.750 0.498 0.694
Pr: 0.750 0.002 0.194
Pr: 0.250 0.502 0.306
Pr: 0.250 0.998 0.806
Nd: 0.250 0.187 0.489
Nd: 0.250 0.313 0.989
Nd: 0.750 0.813 0.511
Nd: 0.750 0.687 0.011
Se: 0.250 0.299 0.730
Se: 0.250 0.201 0.230
Se: 0.750 0.701 0.270
Se: 0.750 0.799 0.770
Se: 0.250 0.626 0.545
Se: 0.250 0.874 0.045
Se: 0.750 0.374 0.455
Se: 0.750 0.126 0.955
Se: 0.750 0.056 0.619
Se: 0.750 0.444 0.119
Se: 0.250 0.944 0.381
Se: 0.250 0.556 0.881

## Properties
- Energy relative to the lowest polymorph listed for this composition: 0 meV per atom
- Raw formation energy: -1.91 eV per atom
- Total energy: -118.14 eV/cell